Cs3MgZr | GGA-PBE | relaxed

```
data_Cs3MgZr
_chemical_formula_sum 'Cs3 Mg1 Zr1'
_symmetry_space_group_name_H-M 'P m -3 m'
_symmetry_Int_Tables_number 221
_symmetry_space_group_name_Hall '-P 4 2 3'
_cell_length_a 7.2231
_cell_length_b 7.2231
_cell_length_c 7.2231
_cell_angle_alpha 90.00
_cell_angle_beta 90.00
_cell_angle_gamma 90.00
loop_
_atom_site_label
_atom_site_type_symbol
_atom_site_fract_x
_atom_site_fract_y
_atom_site_fract_z
Cs1 Cs 0.0000 0.0000 0.5000
Mg1 Mg 0.5000 0.5000 0.5000
Zr1 Zr 0.0000 0.0000 0.0000
```

Density   2.266 Mg/m³
Formation enthalpy at 0 K   1.07 eV/atom
M_tot   5.06 μB per formula unit
Polymorph energy (0 for the lowest one)   0 meV/atom
Final energy   -7.35 eV/cell


Np3TcS6 | GGA-PBE | relaxed

```
data_Np3TcS6
_chemical_formula_sum 'Np18 Tc6 S36'
_symmetry_space_group_name_H-M 'R -3'
_symmetry_Int_Tables_number 148
_symmetry_space_group_name_Hall '-R 3'
_cell_length_a 11.5061
_cell_length_b 11.5061
_cell_length_c 11.1943
_cell_angle_alpha 90.00
_cell_angle_beta 90.00
_cell_angle_gamma 120.00
loop_
_atom_site_label
_atom_site_type_symbol
_atom_site_fract_x
_atom_site_fract_y
_atom_site_fract_z
Np1 Np 0.0520 0.7725 0.1543
Tc1 Tc 0.0000 0.0000 0.0000
Tc2 Tc 0.0000 0.0000 0.5000
S1 S 0.0337 0.8286 0.8995
S2 S 0.0542 0.8564 0.3827
```

Energy relative to the elements, uncorrected   -1.131 eV/atom
Density   7.774 Mg/m³
M_tot   10.00 μB per formula unit
Final energy   -511.61 eV/cell


Cu3P | GGA-PBE | relaxed

```
data_Cu3P
_chemical_formula_sum 'Cu18 P6'
_symmetry_space_group_name_H-M 'P -3 c 1'
_symmetry_Int_Tables_number 165
_symmetry_space_group_name_Hall '-P 3 2"c'
_cell_length_a 6.9713
_cell_length_b 6.9713
_cell_length_c 7.1827
_cell_angle_alpha 90.00
_cell_angle_beta 90.00
_cell_angle_gamma 120.00
loop_
_atom_site_label
_atom_site_type_symbol
_atom_site_fract_x
_atom_site_fract_y
_atom_site_fract_z
Cu1 Cu 0.0000 0.0000 0.0000
Cu2 Cu 0.0687 0.3850 0.4216
Cu3 Cu 0.3333 0.6667 0.1746
P1 P 0.0000 0.3206 0.7500
```

Density   7.304 Mg/m³
Formation enthalpy at 0 K   0.02 eV/atom
M_tot   0.00 μB per formula unit
Final energy   -105.68 eV/cell